Entry from Alexandria via LeMat-Bulk: a geometry-optimized KMg4Ir structure (GGA-PBE).

Properties
Total DFT energy (no corrections) = -2.322 eV/atom
M_tot = 0.0 μB/cell

a b c (Å): 5.7485 5.7485 5.7485
angles (deg): 60.00 60.00 60.00
Atoms (fractional coordinates):
K: 0.0000 0.0000 0.0000
Mg: 0.8692 0.3769 0.3769
Mg: 0.3769 0.3769 0.8692
Mg: 0.3769 0.8692 0.3769
Mg: 0.3769 0.3769 0.3769
Ir: 0.7500 0.7500 0.7500

=====

Entry from Alexandria via LeMat-Bulk: a geometry-optimized HPd3Pt structure (GGA-PBE).

Properties
Total DFT energy (no corrections) = -4.583 eV/atom
Energy above the most stable polymorph in this dataset = 215.7 kJ/mol of formula units
M_tot = 0.0 μB/cell

a b c (Å): 2.6799 6.9875 6.9875
angles (deg): 134.03 90.00 90.00
Atoms (fractional coordinates):
H: 0.0000 0.4294 0.5706
Pd: 0.5000 0.1671 0.3270
Pd: 0.5000 0.6730 0.8329
Pd: 0.0000 0.2662 0.7338
Pt: 0.5000 0.0923 0.9077

=====

Entry from Alexandria via LeMat-Bulk: a geometry-optimized UNbSn structure (GGA-PBE).

Properties
Total DFT energy (no corrections) = -8.262 eV/atom
Energy above the most stable polymorph in this dataset = 0.0 kJ/mol of formula units
M_tot = 2.2 μB/cell

a b c (Å): 2.9864 2.9864 7.5951
angles (deg): 101.34 101.34 90.00
Last column: magnetic moment on the atom in μB.
Atoms (fractional coordinates):
Nb: 0.2801 0.2801 0.5602  0.03
U: 0.9451 0.9451 0.8902  1.98
Sn: 0.6248 0.6248 0.2496  -0.01